7
Lattice="-3.939 -1.180 0.767 2.414 -3.358 -4.177 2.417 -4.422 5.610" Properties=species:S:1:pos:R:3 comment="GGA-PBE Ho2Cd3Hg2, optimized geometry" delta_e_f_ev_per_atom=-0.24 space_group=C2/m crystal_system=monoclinic dos_ef_per_ev_cell=4.3 pbc="T T T"
Ho -1.082 -2.956 1.298
Ho 1.975 -6.004 0.901
Cd 0.558 -2.961 -1.695
Cd 0.000 0.000 0.000
Cd 0.335 -5.999 3.893
Hg 1.619 -3.619 2.745
Hg -0.727 -5.341 -0.546